Pa2SnBi: relaxed, GGA-PBE.

Results
Size of the total moment (Bohr magnetons per cell): 0.01
Polymorph energy (0 for the lowest one) (meV per atom): 41
ΔE_f (kJ/mol of formula units): -28

Unit cell a=7.5385 b=7.5385 c=7.5385 alpha=90.00 beta=90.00 gamma=90.00
With the nearest neighbours (Å) after each atom.
Space group Fm-3m (No. 225)
One atom of each set of equivalent atoms:
Pa 0.2500 0.2500 0.2500  4 Sn 3.26, 4 Bi 3.26
Sn 0.0000 0.0000 0.0000  8 Pa 3.26
Bi 0.0000 0.0000 0.5000  8 Pa 3.26